This record from the Alexandria database describes NpPaMo after structural relaxation. The functional is PBE-GGA. Values from VASP.

Geometry as Quantum ESPRESSO input:
```
&SYSTEM
  ibrav = 0, nat = 12, ntyp = 3
/
ATOMIC_SPECIES
Np 237.00 Np.upf
Pa 231.04 Pa.upf
Mo 95.94 Mo.upf
CELL_PARAMETERS angstrom
-3.382 -4.949 0.217
3.569 1.238 -4.659
5.985 -3.935 3.539
ATOMIC_POSITIONS crystal
Np 0.043 0.957 0.291
Np 0.043 0.957 0.709
Np 0.393 0.183 0.500
Np 0.817 0.607 0.500
Pa 0.649 0.878 0.000
Pa 0.838 0.162 0.500
Pa 0.160 0.840 0.000
Pa 0.122 0.351 0.000
Mo 0.354 0.646 0.323
Mo 0.614 0.386 0.836
Mo 0.614 0.386 0.164
Mo 0.354 0.646 0.677
```

Calculated values
Distance to the lowest polymorph of the same formula in meV per atom: 247.4
V in Å³/atom: 20.3

=====

This record from the Alexandria database describes NpPaMo2 after structural relaxation. The functional is PBE-GGA. Values from VASP.

Geometry as Quantum ESPRESSO input:
```
&SYSTEM
  ibrav = 0, nat = 4, ntyp = 3
/
ATOMIC_SPECIES
Mo 95.94 Mo.upf
Pa 231.04 Pa.upf
Np 237.00 Np.upf
CELL_PARAMETERS angstrom
-2.384 -1.796 -3.620
-2.202 -4.118 0.453
-5.031 0.046 0.250
ATOMIC_POSITIONS crystal
Mo 0.747 0.747 0.758
Mo 0.253 0.253 0.242
Pa 0.500 0.500 0.500
Np 0.000 0.000 0.000
```

Calculated values
V in Å³/atom: 20.2

=====

This record from the Alexandria database describes NpPa2Mo after structural relaxation. The functional is PBE-GGA. Values from VASP.

Geometry as Quantum ESPRESSO input:
```
&SYSTEM
  ibrav = 0, nat = 4, ntyp = 3
/
ATOMIC_SPECIES
Pa 231.04 Pa.upf
Np 237.00 Np.upf
Mo 95.94 Mo.upf
CELL_PARAMETERS angstrom
-2.681 -0.198 1.346
-1.455 -2.630 0.072
3.486 -3.380 9.804
ATOMIC_POSITIONS crystal
Pa 0.089 0.089 0.734
Pa 0.911 0.911 0.266
Np 0.000 0.000 0.000
Mo 0.500 0.500 0.500
```

Calculated values
Distance to the lowest polymorph of the same formula in meV per atom: 282.2
V in Å³/atom: 21.1

=====

This record from the Alexandria database describes NpPa2Mo after structural relaxation. The functional is PBE-GGA. Values from VASP.

Geometry as Quantum ESPRESSO input:
```
&SYSTEM
  ibrav = 0, nat = 4, ntyp = 3
/
ATOMIC_SPECIES
Pa 231.04 Pa.upf
Np 237.00 Np.upf
Mo 95.94 Mo.upf
CELL_PARAMETERS angstrom
4.938 0.000 0.000
2.469 4.276 0.000
2.469 1.425 4.032
ATOMIC_POSITIONS crystal
Pa 0.750 0.750 0.750
Pa 0.250 0.250 0.250
Np 0.500 0.500 0.500
Mo 0.000 0.000 0.000
```

Calculated values
Distance to the lowest polymorph of the same formula in meV per atom: 46.4
V in Å³/atom: 21.3

=====

| no. | VASP energy (eV/atom) |
| --- | --- |
| 1 | -10.6654 |
| 2 | -10.6588 |
| 3 | -10.2207 |
| 4 | -10.4566 |